## Cr2Ga2I (GGA-PBE)

Data for a geometry-optimized Cr2Ga2I structure.

a b c (Å): 7.863 7.863 3.214
angles (deg): 90.00 90.00 90.00
Fractional positions:
Cr: 0.180 0.320 0.000
Cr: 0.320 0.820 0.000
Cr: 0.680 0.180 0.000
Cr: 0.820 0.680 0.000
Ga: 0.116 0.616 0.500
Ga: 0.384 0.116 0.500
Ga: 0.616 0.884 0.500
Ga: 0.884 0.384 0.500
I: 0.000 0.000 0.500
I: 0.500 0.500 0.500

Calculated values
energy relative to the elements, uncorrected	2.8	eV/f.u.

=====

## CrGaI4 (GGA-PBE)

Data for a geometry-optimized CrGaI4 structure.

a b c (Å): 8.376 8.376 7.778
angles (deg): 116.23 116.23 28.58
Fractional positions:
Cr: 0.000 0.000 0.000
Ga: 0.500 0.500 0.500
I: 0.114 0.114 0.830
I: 0.391 0.391 0.756
I: 0.609 0.609 0.244
I: 0.886 0.886 0.170

Calculated values
energy relative to the elements, uncorrected	-2.0	eV/f.u.

=====

## CrGa4I2 (GGA-PBE)

Data for a geometry-optimized CrGa4I2 structure.

a b c (Å): 8.928 8.928 8.928
angles (deg): 148.25 148.25 45.52
Fractional positions:
Cr: 0.000 0.000 0.000
Ga: 0.000 0.500 0.500
Ga: 0.144 0.144 0.000
Ga: 0.500 0.000 0.500
Ga: 0.856 0.856 0.000
I: 0.308 0.308 0.000
I: 0.692 0.692 0.000

Calculated values
energy relative to the elements, uncorrected	0.8	eV/f.u.

=====

In the order shown, the computed VASP energy values come out to -4.81 -3.47 -3.44 eV/atom.